! ReAs2Pb, relaxed, DFT PBE; values from VASP
! SG = Cm, No. 8
! D(E_F) = 1.68 states/eV/cell
! ΔH_f (0 K) = 3.4 kcal/mol of atoms
&SYSTEM
  ibrav = 0, nat = 4, ntyp = 3
/
ATOMIC_SPECIES
As 74.92 As.upf
Pb 207.20 Pb.upf
Re 186.21 Re.upf
CELL_PARAMETERS angstrom
-1.2872 -1.5974 -4.1367
1.1519 -3.4017 -2.9021
-4.2600 -4.9644 1.1609
ATOMIC_POSITIONS crystal
As 0.9253 0.9253 0.1250
As 0.7777 0.7777 0.7886
Pb 0.5762 0.5762 0.4984
Re 0.2207 0.2207 0.0879